A plane-wave DFT calculation with SCAN was carried out for a crystal of MnCoHg2 relaxed with PBEsol.

Cell and atoms, written as POSCAR:
```
MnCoHg2
1.0
1.489 0.860 8.592
-1.489 0.860 8.592
0.000 -1.719 8.592
Mn Co Hg
1 1 2
Direct
0.000 0.000 0.000 Mn
0.500 0.500 0.500 Co
0.247 0.247 0.247 Hg
0.753 0.753 0.753 Hg
```

Properties
The energy of formation comes out at 0.2605 eV per atom. For the total magnetization, the calculation gives 5.61 μB per cell. For the calculated total energy, the calculation gives -170.849 eV per formula unit. Its volume is 65.97 Å³ per cell. The calculation puts the energy above the most stable polymorph in this dataset at 151 meV/atom. The symmetry is R-3m.